1.
Compound: HfCdSb3
Source: Alexandria
Functional: PBEsol
Structure: relaxed

Cell: 5.285 5.285 5.285 Å, 90.00 90.00 90.00°
Space group Pm-3m (No. 221)
Unique sites:
Hf: 0.000 0.000 0.000 [1 per cell]
Cd: 0.500 0.500 0.500 [1 per cell]
Sb: 0.000 0.500 0.500 [3 per cell]

* size of the total moment: 0.00 μB per formula unit
* raw total energy: -4.057 eV per atom
* energy relative to the elements, uncorrected: 98 kJ/mol of atoms
* N(E_F): 0.86 states/eV per atom
* calculated density: 7.38 g cm⁻³

2.
Compound: Li2CoIr
Source: Alexandria
Functional: PBEsol
Structure: relaxed

Cell: 3.447 3.447 8.274 Å, 90.00 90.00 90.00°
Space group I4/mmm (No. 139)
Unique sites:
Li: 0.000 0.500 0.250 [4 per cell]
Co: 0.000 0.000 0.000 [2 per cell]
Ir: 0.000 0.000 0.500 [2 per cell]

* size of the total moment: 2.07 μB per formula unit
* raw total energy: -5.261 eV per atom
* energy above the lowest structure with this stoichiometry: 0.55 eV per formula unit
* N(E_F): 0.74 states/eV per atom
* calculated density: 8.95 g cm⁻³
* energy relative to the elements: 0.1124 eV per atom

- Which formula does entry 2 have?
  Li2CoIr

- Among the records above, which one has the highest N(E_F)?
  HfCdSb3

- Which of these has the highest N(E_F)?
  HfCdSb3

Repeat the first record exactly.
Compound: HfCdSb3
Source: Alexandria
Functional: PBEsol
Structure: relaxed

Cell: 5.285 5.285 5.285 Å, 90.00 90.00 90.00°
Space group Pm-3m (No. 221)
Unique sites:
Hf: 0.000 0.000 0.000 [1 per cell]
Cd: 0.500 0.500 0.500 [1 per cell]
Sb: 0.000 0.500 0.500 [3 per cell]

* size of the total moment: 0.00 μB per formula unit
* raw total energy: -4.057 eV per atom
* energy relative to the elements, uncorrected: 98 kJ/mol of atoms
* N(E_F): 0.86 states/eV per atom
* calculated density: 7.38 g cm⁻³